1.
{
  "formula": "IrW2Cl",
  "functional": "PBE",
  "state": "optimized geometry",
  "lattice_angstrom": [[2.812, 0.000, 0.000], [0.000, 4.198, 0.000], [-1.394, 0.000, 5.297]],
  "species": ["Ir", "W", "W", "Cl"],
  "fractional_positions": [[0.000, 0.000, 0.000], [0.257, 0.000, 0.509], [0.595, 0.500, 0.194], [0.370, 0.500, 0.733]],
  "de_polymorph_mev_per_atom": 290,
  "final_energy_ev_per_atom": -8.6572,
  "raw_formation_energy_mev_per_atom": 496,
  "n_ef_per_ev_fu": 2.31
}

***

2.
{
  "formula": "IrW2Cl",
  "functional": "PBE",
  "state": "optimized geometry",
  "lattice_angstrom": [[2.901, 0.000, 0.000], [0.000, 4.614, 0.000], [0.000, 0.000, 4.772]],
  "species": ["Ir", "W", "W", "Cl"],
  "fractional_positions": [[0.000, 0.000, 0.000], [0.000, 0.500, 0.500], [0.500, 0.500, 0.000], [0.500, 0.000, 0.500]],
  "de_polymorph_mev_per_atom": 779,
  "final_energy_ev_per_atom": -8.1677,
  "raw_formation_energy_mev_per_atom": 986,
  "n_ef_per_ev_fu": 4.35
}